(1)
Material: RbAlZn2Pt
Method: DFT, PBE-GGA
State: relaxed

* uncorrected energy: -6.4 eV per cell
* formation energy: 1370 meV/atom
* relative energy among the computed polymorphs: 1650 meV/atom
* magnetic moment: 0.00 Bohr magnetons per cell

Unit cell a=5.9458 b=5.9458 c=5.6820 alpha=90.00 beta=90.00 gamma=90.00
With the nearest neighbours (Å) after each atom.
Space group P4/mmm (No. 123)
Unique sites:
Rb  0.0000  0.0000  0.0000  2 Pt 2.84, 4 Zn 2.97
Al  0.5000  0.5000  0.5000  8 Zn 4.11, 4 Pt 4.20
Zn  0.0000  0.5000  0.0000  2 Rb 2.97
Pt  0.0000  0.0000  0.5000  2 Rb 2.84

(2)
Material: RbZr2AlPt
Method: DFT, PBE-GGA
State: relaxed

* uncorrected energy: -18.1 eV per cell
* formation energy: 1941 meV/atom
* magnetic moment: 0.00 Bohr magnetons per cell

Unit cell a=5.0301 b=5.0301 c=4.9861 alpha=90.00 beta=90.00 gamma=90.00
With the nearest neighbours (Å) after each atom.
Space group P4/mmm (No. 123)
Unique sites:
Rb  0.0000  0.0000  0.0000  2 Pt 2.49, 4 Zr 2.52
Zr  0.0000  0.5000  0.0000  2 Rb 2.52
Al  0.5000  0.5000  0.5000  8 Zr 3.54, 4 Pt 3.56
Pt  0.0000  0.0000  0.5000  2 Rb 2.49

(3)
Material: AlRePt2
Method: DFT, PBE-GGA
State: relaxed

* uncorrected energy: -29.8 eV per cell
* formation energy: -385 meV/atom
* relative energy among the computed polymorphs: 47 meV/atom
* magnetic moment: 0.00 Bohr magnetons per cell

Unit cell a=2.7501 b=4.4676 c=4.8750 alpha=90.00 beta=90.00 gamma=90.00
With the nearest neighbours (Å) after each atom.
Space group Pmm2 (No. 25)
Unique sites:
Al  0.0000  0.0000  0.0000  8 Pt 2.71-2.81, 2 Al 2.75, 2 Re 2.82
Re  0.0000  0.5000  0.3519  8 Pt 2.72-2.82, 2 Re 2.75, 2 Al 2.82
Pt  0.5000  0.0000  0.5024  4 Re 2.72, 4 Pt 2.75-2.82, 4 Al 2.79-2.81
Pt  0.5000  0.5000  0.8566  4 Al 2.71, 4 Pt 2.75-2.82, 4 Re 2.78-2.82

(4)
Material: AlRePt2
Method: DFT, PBE-GGA
State: relaxed

* uncorrected energy: -58.5 eV per cell
* formation energy: -245 meV/atom
* relative energy among the computed polymorphs: 187 meV/atom
* magnetic moment: 0.00 Bohr magnetons per cell

Unit cell a=3.8900 b=3.8900 c=7.9227 alpha=90.00 beta=90.00 gamma=90.00
With the nearest neighbours (Å) after each atom.
Space group I4/mmm (No. 139)
Unique sites:
Al  0.0000  0.0000  0.0000  4 Re 2.75, 8 Pt 2.78
Re  0.0000  0.0000  0.5000  4 Al 2.75, 8 Pt 2.78
Pt  0.0000  0.5000  0.2500  4 Pt 2.75, 4 Al 2.78, 4 Re 2.78

(5)
Material: AlRe2Pt
Method: DFT, PBE-GGA
State: relaxed

* uncorrected energy: -35.9 eV per cell
* formation energy: -299 meV/atom
* relative energy among the computed polymorphs: 0 meV/atom
* magnetic moment: 0.00 Bohr magnetons per cell

Unit cell a=2.8661 b=2.8661 c=7.2687 alpha=90.00 beta=90.00 gamma=90.00
With the nearest neighbours (Å) after each atom.
Space group P4mm (No. 99)
Unique sites:
Al  0.0000  0.0000  0.0000  4 Pt 2.65, 4 Re 2.70, 4 Al 2.87
Re  0.0000  0.0000  0.5199  8 Re 2.65-2.87, 4 Pt 2.90
Re  0.5000  0.5000  0.7540  8 Re 2.65-2.87, 4 Al 2.70
Pt  0.5000  0.5000  0.2343  4 Al 2.65, 4 Pt 2.87, 4 Re 2.90

(6)
Material: AlRePt
Method: DFT, PBE-GGA
State: relaxed

* uncorrected energy: -23.2 eV per cell
* formation energy: -319 meV/atom
* relative energy among the computed polymorphs: 13 meV/atom
* magnetic moment: 0.00 Bohr magnetons per cell

Unit cell a=2.8033 b=2.8033 c=6.5451 alpha=90.00 beta=90.00 gamma=120.00
With the nearest neighbours (Å) after each atom.
Space group P3m1 (No. 156)
Unique sites:
Al  0.0000  0.0000  0.0000  3 Pt 2.64, 3 Re 2.71, 6 Al 2.80
Re  0.3333  0.6667  0.6679  3 Al 2.71, 3 Pt 2.80, 6 Re 2.80
Pt  0.6667  0.3333  0.3189  3 Al 2.64, 3 Re 2.80, 6 Pt 2.80

(7)
Material: AlRe2Pt
Method: DFT, PBE-GGA
State: relaxed

* uncorrected energy: -70.3 eV per cell
* formation energy: -117 meV/atom
* relative energy among the computed polymorphs: 182 meV/atom
* magnetic moment: 0.00 Bohr magnetons per cell

Unit cell a=3.1256 b=4.4268 c=8.5282 alpha=90.00 beta=90.00 gamma=90.00
With the nearest neighbours (Å) after each atom.
Space group Imm2 (No. 44)
Unique sites:
Al  0.0000  0.0000  0.0000  2 Pt 2.49, 6 Re 2.59-2.71
Re  0.0000  0.0000  0.5013  2 Re 2.68, 4 Al 2.71, 4 Pt 2.81-2.94
Re  0.0000  0.5000  0.2571  2 Al 2.59, 2 Re 2.68, 4 Pt 2.72
Pt  0.0000  0.5000  0.7279  2 Al 2.49, 4 Re 2.72

(8)
Material: AlRe2Pt
Method: DFT, PBE-GGA
State: relaxed

* uncorrected energy: -70.4 eV per cell
* formation energy: -133 meV/atom
* relative energy among the computed polymorphs: 166 meV/atom
* magnetic moment: 0.29 Bohr magnetons per cell

Unit cell a=3.9840 b=3.9840 c=7.5054 alpha=90.00 beta=90.00 gamma=90.00
With the nearest neighbours (Å) after each atom.
Space group I-4m2 (No. 119)
Unique sites:
Al  0.0000  0.0000  0.0000  8 Re 2.74-2.82, 4 Pt 2.74
Re  0.0000  0.0000  0.5000  4 Re 2.74, 4 Pt 2.74, 4 Al 2.82
Re  0.0000  0.5000  0.2500  4 Re 2.74, 4 Al 2.74, 4 Pt 2.82
Pt  0.0000  0.5000  0.7500  4 Al 2.74, 8 Re 2.74-2.82

(9)
Material: AlRePt2
Method: DFT, PBE-GGA
State: relaxed

* uncorrected energy: -115.0 eV per cell
* formation energy: -121 meV/atom
* relative energy among the computed polymorphs: 311 meV/atom
* magnetic moment: 0.00 Bohr magnetons per cell

Unit cell a=6.2316 b=6.2316 c=6.2316 alpha=90.00 beta=90.00 gamma=90.00
With the nearest neighbours (Å) after each atom.
Space group F-43m (No. 216)
Unique sites:
Al  0.0000  0.0000  0.0000  4 Re 2.70, 4 Pt 2.70
Re  0.2500  0.2500  0.7500  4 Al 2.70, 4 Pt 2.70
Pt  0.0000  0.0000  0.5000  4 Pt 2.70, 4 Re 2.70
Pt  0.2500  0.2500  0.2500  4 Al 2.70, 4 Pt 2.70

(10)
Material: AlRePt2
Method: DFT, PBE-GGA
State: relaxed

* uncorrected energy: -88.4 eV per cell
* formation energy: -302 meV/atom
* relative energy among the computed polymorphs: 130 meV/atom
* magnetic moment: 0.00 Bohr magnetons per cell

Unit cell a=2.8208 b=2.8208 c=26.2668 alpha=90.00 beta=90.00 gamma=120.00
With the nearest neighbours (Å) after each atom.
Space group R3m (No. 160, hexagonal axes)
Unique sites:
Al  0.0000  0.0000  0.0000  3 Pt 2.60, 3 Re 2.68, 6 Al 2.82
Re  0.0000  0.0000  0.7479  3 Al 2.68, 3 Pt 2.72, 6 Re 2.82
Pt  0.0000  0.0000  0.2561  3 Al 2.60, 6 Pt 2.82
Pt  0.0000  0.0000  0.4973  3 Re 2.72, 9 Pt 2.82-2.92

(11)
Material: AlRe2Pt
Method: DFT, PBE-GGA
State: relaxed

* uncorrected energy: -35.6 eV per cell
* formation energy: -235 meV/atom
* relative energy among the computed polymorphs: 64 meV/atom
* magnetic moment: 0.00 Bohr magnetons per cell

Unit cell a=2.8148 b=3.8600 c=5.5959 alpha=90.00 beta=90.87 gamma=90.00
With the nearest neighbours (Å) after each atom.
Space group Pm (No. 6)
Unique sites:
Al  0.0000  0.0000  0.0000  4 Pt 2.65, 6 Re 2.70-2.90, 2 Al 2.81
Re  0.0347  0.0000  0.5182  6 Re 2.53-2.81, 1 Al 2.70
Re  0.4799  0.5000  0.7114  6 Re 2.53-2.81, 1 Pt 2.76
Pt  0.5063  0.5000  0.2041  4 Al 2.65, 4 Re 2.76-2.94, 2 Pt 2.81

(12)
Material: AlRe2Pt
Method: DFT, PBE-GGA
State: relaxed

* uncorrected energy: -34.8 eV per cell
* formation energy: -33 meV/atom
* relative energy among the computed polymorphs: 266 meV/atom
* magnetic moment: 0.00 Bohr magnetons per cell

Unit cell a=2.7204 b=4.2151 c=5.2570 alpha=90.00 beta=97.02 gamma=90.00
With the nearest neighbours (Å) after each atom.
Space group P2/m (No. 10)
Unique sites:
Al  0.0000  0.0000  0.0000  2 Pt 2.63, 4 Re 2.64, 2 Al 2.72
Re  0.4275  0.5000  0.2341  4 Re 2.54-2.77, 2 Al 2.64
Pt  0.0000  0.0000  0.5000  2 Al 2.63, 2 Pt 2.72, 8 Re 2.85-2.88